This record from the Alexandria database describes crystalline ErTm2Ga6 at its relaxed geometry. The functional is PBE.

Computed properties:
Total moment: 0.00 μB/atom
Total DFT energy (no corrections): -37.044 eV per formula unit
ΔH_f (0 K): -5.4 eV per formula unit
Energy above the most stable polymorph in this dataset: 0 meV per atom
Space-group type: No. 191

Cell and atoms, written as POSCAR:
```
ErTm2Ga6
1.0
7.443 0.000 0.000
-3.722 6.446 0.000
0.000 0.000 3.749
Er Tm Ga
1 2 6
Direct
0.000 0.000 0.000
0.333 0.667 0.000
0.667 0.333 0.000
0.000 0.334 0.500
0.000 0.666 0.500
0.334 0.000 0.500
0.334 0.334 0.500
0.666 0.000 0.500
0.666 0.666 0.500
```


This record from the Alexandria database describes crystalline Rb2PtPb at its relaxed geometry. The functional is PBE.

Computed properties:
Total moment: 0.00 μB/atom
Total DFT energy (no corrections): -12.161 eV per formula unit
ΔH_f (0 K): -0.5 eV per formula unit
Space-group type: No. 44

Cell and atoms, written as POSCAR:
```
Rb2PtPb
1.0
4.542 0.000 0.000
0.000 10.493 0.000
0.000 0.000 7.087
Rb Pt Pb
4 2 2
Direct
0.000 0.188 0.000
0.000 0.812 0.000
0.500 0.312 0.500
0.500 0.688 0.500
0.000 0.500 0.796
0.500 0.000 0.296
0.000 0.000 0.495
0.500 0.500 0.995
```


This record from the Alexandria database describes crystalline AcDy2Y5Tm at its relaxed geometry. The functional is PBE.

Computed properties:
Total moment: 0.00 μB/atom
Total DFT energy (no corrections): -47.442 eV per formula unit
ΔH_f (0 K): 2.7 eV per formula unit
Space-group type: No. 140

Cell and atoms, written as POSCAR:
```
AcDy2Y5Tm
1.0
-4.452 4.452 7.654
4.452 -4.452 7.654
4.452 4.452 -7.654
Ac Dy Y Tm
2 4 10 2
Direct
0.250 0.750 0.500
0.750 0.250 0.500
0.113 0.613 0.726
0.387 0.113 0.500
0.613 0.887 0.500
0.887 0.387 0.274
0.000 0.000 0.000
0.078 0.163 0.500
0.163 0.663 0.085
0.337 0.422 0.500
0.422 0.922 0.085
0.500 0.500 0.000
0.578 0.078 0.915
0.663 0.578 0.500
0.837 0.337 0.915
0.922 0.837 0.500
0.250 0.250 0.000
0.750 0.750 0.000
```


This record from the Alexandria database describes crystalline PmNpRe at its relaxed geometry. The functional is PBE.

Computed properties:
Total moment: 1.07 μB/atom
Total DFT energy (no corrections): -28.854 eV per formula unit
ΔH_f (0 K): 1.3 eV per formula unit
Space-group type: No. 11

Cell and atoms, written as POSCAR:
```
PmNpRe
1.0
3.157 0.000 0.000
0.000 4.021 0.000
-0.009 0.000 10.952
Pm Np Re
2 2 2
Direct
0.249 0.250 0.123
0.751 0.750 0.877
0.250 0.250 0.687
0.750 0.750 0.313
0.250 0.250 0.443
0.750 0.750 0.557
```


This record from the Alexandria database describes crystalline TePBrCl2 at its relaxed geometry. The functional is PBE.

Computed properties:
Total moment: 0.26 μB/atom
Total DFT energy (no corrections): -12.303 eV per formula unit
E_form (uncorrected): 0.32 eV per atom
Energy above the most stable polymorph in this dataset: 0 meV per atom
Space-group type: No. 123

Cell and atoms, written as POSCAR:
```
TePBrCl2
1.0
5.138 0.000 0.000
0.000 5.138 0.000
0.000 0.000 5.593
Te P Br Cl
1 1 1 2
Direct
0.000 0.000 0.000
0.000 0.000 0.500
0.500 0.500 0.500
0.000 0.500 0.000
0.500 0.000 0.000
```


This record from the Alexandria database describes crystalline Sr2AgAs at its relaxed geometry. The functional is PBE.

Computed properties:
Total moment: 0.00 μB/atom
Total DFT energy (no corrections): -13.037 eV per formula unit
ΔH_f (0 K): -2.2 eV per formula unit
Space-group type: No. 44

Cell and atoms, written as POSCAR:
```
Sr2AgAs
1.0
4.316 0.000 0.000
0.000 4.492 0.000
0.000 0.000 13.011
Sr Ag As
4 2 2
Direct
0.000 0.000 0.000
0.000 0.500 0.247
0.500 0.000 0.747
0.500 0.500 0.500
0.000 0.500 0.792
0.500 0.000 0.292
0.000 0.000 0.436
0.500 0.500 0.936
```


This record from the Alexandria database describes crystalline NpUGa4 at its relaxed geometry. The functional is PBE.

Computed properties:
Total moment: 1.04 μB/atom
Total DFT energy (no corrections): -36.349 eV per formula unit
ΔH_f (0 K): 0.0 eV per formula unit
Energy above the most stable polymorph in this dataset: 184 meV per atom
Space-group type: No. 51

Cell and atoms, written as POSCAR:
```
NpUGa4
1.0
8.586 0.000 0.000
0.000 4.297 0.000
0.000 0.000 6.690
Np U Ga
2 2 8
Direct
0.250 0.000 0.199
0.750 0.000 0.801
0.250 0.000 0.819
0.750 0.000 0.181
0.000 0.000 0.500
0.004 0.500 0.194
0.250 0.500 0.507
0.496 0.500 0.194
0.500 0.000 0.500
0.504 0.500 0.806
0.750 0.500 0.493
0.996 0.500 0.806
```


This record from the Alexandria database describes crystalline Ir2PtPb at its relaxed geometry. The functional is PBE.

Computed properties:
Total moment: 0.00 μB/atom
Total DFT energy (no corrections): -26.059 eV per formula unit
ΔH_f (0 K): 1.4 eV per formula unit
Space-group type: No. 65

Cell and atoms, written as POSCAR:
```
Ir2PtPb
1.0
5.850 0.000 0.000
0.000 7.659 0.000
0.000 0.000 3.016
Ir Pt Pb
4 2 2
Direct
0.250 0.250 0.000
0.250 0.750 0.000
0.750 0.250 0.000
0.750 0.750 0.000
0.000 0.000 0.500
0.500 0.500 0.500
0.000 0.500 0.500
0.500 0.000 0.500
```